{
  "formula": "Be4CoNi3",
  "functional": "GGA-PBE",
  "state": "relaxed",
  "lattice_angstrom": [[2.6076, 0.0000, 0.0000], [0.0000, 2.6076, 0.0000], [0.0000, 0.0000, 10.3876]],
  "species": ["Be", "Be", "Be", "Be", "Co", "Ni", "Ni", "Ni"],
  "fractional_positions": [[0.0000, 0.0000, 0.1181], [0.0000, 0.0000, 0.3727], [0.0000, 0.0000, 0.6273], [0.0000, 0.0000, 0.8819], [0.5000, 0.5000, 0.0000], [0.5000, 0.5000, 0.2493], [0.5000, 0.5000, 0.5000], [0.5000, 0.5000, 0.7507]],
  "total_energy_ev_per_cell": -42.959,
  "formation_energy_ev_per_atom": -0.451,
  "spacegroup": "No. 123"
}